The following is a DFT calculation (PBE) of an optimized crystal structure of Er6MgZn5.

Structure (extended XYZ):
```
12
Lattice="-2.7741 0.8241 4.1186 -5.7648 1.0855 -4.0998 -3.0393 -6.9796 2.4255" Properties=species:S:1:pos:R:3 pbc="T T T"
Mg 0.0000 0.0000 0.0000
Zn -6.7643 -3.5890 2.3142
Zn -1.9061 -1.9098 2.1743
Zn -2.8824 0.5428 -2.0499
Zn -3.9074 -4.2457 4.3697
Zn -4.8139 -1.4809 0.1300
Er -7.6485 -0.8953 1.1797
Er -4.7958 -1.4324 3.2084
Er -2.8916 0.6954 0.9892
Er -5.6472 1.2143 -0.9704
Er -6.7824 -3.6375 -0.7642
Er -3.9296 -4.1747 1.2645
```

Computed properties:
Size of the total moment ... 0.0 μB/f.u.
Energy of formation ... -0.293 eV per atom
Total DFT energy (no corrections) ... -3.24 eV/atom
DOS(E_F) ... 12.73 states/eV per cell
Calculated density ... 8.2 g/cm3



The following is a DFT calculation (PBE) of an optimized crystal structure of Er3MgZn.

Structure (extended XYZ):
```
10
Lattice="4.9530 0.0000 1.1319 0.0000 5.0759 0.0000 0.2641 0.0000 10.2469" Properties=species:S:1:pos:R:3 pbc="T T T"
Er 3.7994 1.2690 2.1700
Er 2.1391 1.2690 9.4352
Er 2.9732 1.2690 5.7853
Er 1.3363 3.8069 1.5455
Er 4.6289 3.8069 9.9426
Er 0.5022 3.8069 5.1954
Mg 2.5611 3.8069 7.5888
Mg 0.9143 1.2690 3.3920
Zn 3.3729 3.8069 4.0366
Zn 5.0555 1.2690 8.0761
```

Computed properties:
Size of the total moment ... 0.0 μB/f.u.
Energy of formation ... -0.128 eV per atom
Total DFT energy (no corrections) ... -3.44 eV/atom
DOS(E_F) ... 11.14 states/eV per cell
Calculated density ... 7.7 g/cm3



The following is a DFT calculation (PBE) of an optimized crystal structure of ErMg11Zn.

Structure (extended XYZ):
```
13
Lattice="-1.9530 -4.1226 3.6460 -5.0997 -4.5186 -3.4165 4.2754 -6.4033 -0.2735" Properties=species:S:1:pos:R:3 pbc="T T T"
Er 0.0000 0.0000 0.0000
Mg -0.7919 -3.5236 0.2844
Mg -1.9854 -11.5209 -0.3284
Mg -4.0817 -6.9191 -0.9247
Mg 1.3045 -8.1254 0.8807
Mg -1.1707 -8.5694 -1.1052
Mg -1.6065 -6.4750 1.0612
Mg -0.9377 -9.8966 2.2274
Mg -1.8396 -5.1478 -2.2714
Mg -2.5498 -2.2593 -1.7083
Mg 1.1612 -5.2630 1.6863
Mg 2.1377 -3.2017 -0.1367
Zn -3.5263 -4.3206 0.1147
```

Computed properties:
Size of the total moment ... 0.0 μB/f.u.
Energy of formation ... -0.027 eV per atom
Total DFT energy (no corrections) ... -1.83 eV/atom
DOS(E_F) ... 5.52 states/eV per cell
Calculated density ... 2.8 g/cm3



The following is a DFT calculation (PBE) of an optimized crystal structure of Er3MgZn8.

Structure (extended XYZ):
```
12
Lattice="-3.0637 -0.1141 4.4386 -3.9917 -3.6030 0.4303 3.1956 -6.9451 5.3053" Properties=species:S:1:pos:R:3 pbc="T T T"
Er 0.1192 -7.4388 6.4473
Er -7.0000 -3.7740 4.9057
Er -1.9613 -5.2988 5.0663
Mg -4.9484 -5.8843 6.2675
Zn -4.0184 -2.9877 5.3340
Zn -2.8889 -8.2000 5.9826
Zn -2.4967 -2.9311 3.1293
Zn -4.4281 -8.2573 8.2126
Zn 0.0785 -3.7388 3.2362
Zn -1.8580 -9.0630 8.3189
Zn -4.4794 -4.7207 3.3431
Zn -2.4227 -6.4471 7.9964
```

Computed properties:
Size of the total moment ... 0.0 μB/f.u.
Energy of formation ... -0.294 eV per atom
Total DFT energy (no corrections) ... -2.42 eV/atom
DOS(E_F) ... 5.04 states/eV per cell
Calculated density ... 7.9 g/cm3



The following is a DFT calculation (PBE) of an optimized crystal structure of Er2MgZn4.

Structure (extended XYZ):
```
7
Lattice="-0.0676 2.0180 -4.2715 -3.4415 -2.9476 -1.3381 -3.3550 5.3466 5.1921" Properties=species:S:1:pos:R:3 pbc="T T T"
Er -3.0589 0.7815 -2.1953
Er -3.8052 3.6356 1.7779
Mg 0.0000 0.0000 0.0000
Zn -5.0505 2.6843 -1.2649
Zn -1.8136 1.7328 0.8474
Zn -1.7207 -1.4738 -0.6691
Zn -0.0338 1.0090 -2.1357
```

Computed properties:
Size of the total moment ... 0.0 μB/f.u.
Energy of formation ... 0.186 eV per atom
Total DFT energy (no corrections) ... -2.07 eV/atom
DOS(E_F) ... 5.52 states/eV per cell
Calculated density ... 6.2 g/cm3



The following is a DFT calculation (PBE) of an optimized crystal structure of ErMg2Zn6.

Structure (extended XYZ):
```
9
Lattice="3.3382 0.0000 0.0000 0.0000 7.5468 0.0000 -1.6691 -3.7734 6.5782" Properties=species:S:1:pos:R:3 pbc="T T T"
Er 0.0000 3.7734 0.0000
Mg 1.6691 3.7734 4.7379
Mg 0.0000 0.0000 1.8404
Zn 1.6691 5.1164 2.3148
Zn 0.0000 -1.3430 4.2634
Zn 0.0000 1.3430 4.2634
Zn 1.6691 1.2885 0.0000
Zn 1.6691 6.2584 0.0000
Zn 1.6691 2.4305 2.3148
```

Computed properties:
Size of the total moment ... 0.0 μB/f.u.
Energy of formation ... -0.149 eV per atom
Total DFT energy (no corrections) ... -1.86 eV/atom
DOS(E_F) ... 4.03 states/eV per cell
Calculated density ... 6.1 g/cm3



The following is a DFT calculation (PBE) of an optimized crystal structure of Er2Mg2Zn.

Structure (extended XYZ):
```
5
Lattice="3.3185 0.0000 0.0000 0.0000 3.3553 0.6357 0.0000 -0.3977 11.2711" Properties=species:S:1:pos:R:3 pbc="T T T"
Er 1.6592 1.3283 2.1615
Er 1.6592 1.6293 9.7453
Mg 0.0000 0.3950 7.0875
Mg 0.0000 2.5626 4.8194
Zn 0.0000 0.0000 0.0000
```

Computed properties:
Size of the total moment ... 0.0 μB/f.u.
Energy of formation ... -0.088 eV per atom
Total DFT energy (no corrections) ... -2.81 eV/atom
DOS(E_F) ... 4.29 states/eV per cell
Calculated density ... 5.9 g/cm3



The following is a DFT calculation (PBE) of an optimized crystal structure of ErMg8Zn2.

Structure (extended XYZ):
```
11
Lattice="5.0894 0.7211 0.4767 0.5480 6.8163 -3.1165 0.5056 0.0987 7.4973" Properties=species:S:1:pos:R:3 pbc="T T T"
Er 2.5447 0.3606 0.2384
Mg 4.8251 1.2115 2.5992
Mg 4.8355 2.8502 0.0101
Mg 1.9754 2.9759 1.8914
Mg 3.0611 2.1682 5.0355
Mg 3.0819 5.4679 -0.1779
Mg 4.1676 4.6602 2.9662
Mg 1.3076 4.7859 4.8475
Mg 1.3179 6.4246 2.2584
Zn 0.5348 4.7235 0.1902
Zn 0.5189 2.1915 4.1906
```

Computed properties:
Size of the total moment ... 0.0 μB/f.u.
Energy of formation ... 0.043 eV per atom
Total DFT energy (no corrections) ... -1.76 eV/atom
DOS(E_F) ... 6.90 states/eV per cell
Calculated density ... 3.2 g/cm3



The following is a DFT calculation (PBE) of an optimized crystal structure of Er4Mg5Zn2.

Structure (extended XYZ):
```
11
Lattice="3.4910 0.0000 0.0000 0.0000 7.8959 0.0768 0.0000 -0.6656 9.9141" Properties=species:S:1:pos:R:3 pbc="T T T"
Er 1.7455 5.5760 5.5499
Er 1.7455 0.6964 8.6014
Er 1.7455 1.6542 4.4409
Er 1.7455 6.5338 1.3894
Mg 0.0000 4.2193 3.0835
Mg 0.0000 1.3893 1.5977
Mg 0.0000 3.9479 0.0384
Mg 0.0000 5.8410 8.3931
Mg 0.0000 3.0109 6.9074
Zn 0.0000 0.0281 6.2652
Zn 0.0000 7.2021 3.7256
```

Computed properties:
Size of the total moment ... 0.0 μB/f.u.
Energy of formation ... -0.105 eV per atom
Total DFT energy (no corrections) ... -2.72 eV/atom
DOS(E_F) ... 9.74 states/eV per cell
Calculated density ... 5.6 g/cm3



The following is a DFT calculation (PBE) of an optimized crystal structure of Er3Mg7Zn2.

Structure (extended XYZ):
```
12
Lattice="-4.6361 -3.6961 0.1884 0.8315 -5.8369 -0.6555 -0.1995 -4.0521 8.9861" Properties=species:S:1:pos:R:3 pbc="T T T"
Er 0.0000 0.0000 0.0000
Er -3.3460 -9.9083 3.4562
Er -0.6581 -3.6769 5.0627
Mg -2.0021 -6.7926 4.2595
Mg -3.9886 -6.8242 2.0214
Mg -1.2214 -7.9077 1.5943
Mg -1.6422 -4.9536 1.9260
Mg -0.0155 -6.7609 6.4975
Mg -2.3619 -8.6316 6.5929
Mg -2.7828 -5.6775 6.9247
Zn -2.5341 -6.3572 -0.2919
Zn -1.4700 -7.2280 8.8108
```

Computed properties:
Size of the total moment ... 0.0 μB/f.u.
Energy of formation ... -0.080 eV per atom
Total DFT energy (no corrections) ... -2.36 eV/atom
DOS(E_F) ... 9.41 states/eV per cell
Calculated density ... 4.7 g/cm3